The following is a GGA-PBE calculation of crystalline SnPRhO2 at its relaxed geometry, from Alexandria.

Unit cell a=3.816 b=3.816 c=5.965 alpha=90.00 beta=90.00 gamma=90.00
Site moments in Bohr magnetons follow the coordinates.
Atoms (fractional coordinates):
1 Sn 0.000 0.000 0.000  0.00
2 P 0.000 0.000 0.500  0.15
3 O 0.500 0.000 0.000  0.08
4 O 0.000 0.500 0.000  0.08
5 Rh 0.500 0.500 0.500  0.85

Values from the calculation:
- crystal system = tetragonal
- E above lowest polymorph (eV per formula unit) = 1.24
- M_tot (μB/f.u.) = 1.45

=====

The following is a GGA-PBE calculation of crystalline TbCeTlIn at its relaxed geometry, from Alexandria.

Unit cell a=5.430 b=5.430 c=5.430 alpha=60.00 beta=60.00 gamma=60.00
Site moments in Bohr magnetons follow the coordinates.
Atoms (fractional coordinates):
1 In 0.500 0.500 0.500  0.01
2 Tl 0.000 0.000 0.000  0.01
3 Tb 0.250 0.250 0.250  0.03
4 Ce 0.750 0.750 0.750  0.83

Values from the calculation:
- crystal system = cubic
- energy relative to the elements (eV/atom) = -0.340
- E above lowest polymorph (eV per formula unit) = 0.01
- M_tot (μB/f.u.) = 1.03

=====

The following is a GGA-PBE calculation of crystalline LiRe2Se at its relaxed geometry, from Alexandria.

Unit cell a=4.674 b=3.649 c=3.649 alpha=90.00 beta=90.00 gamma=90.00
Atoms (fractional coordinates):
1 Se 0.500 0.500 0.000
2 Re 0.000 0.500 0.500
3 Re 0.000 0.000 0.000
4 Li 0.500 0.000 0.500

Values from the calculation:
- crystal system = tetragonal
- M_tot (μB/f.u.) = 0.00
- total energy (Ry per atom) = -0.516

=====

The following is a GGA-PBE calculation of crystalline CeGdPaSn at its relaxed geometry, from Alexandria.

Unit cell a=5.347 b=5.347 c=5.347 alpha=60.00 beta=60.00 gamma=60.00
Site moments in Bohr magnetons follow the coordinates.
Atoms (fractional coordinates):
1 Sn 0.750 0.750 0.750  0.02
2 Ce 0.500 0.500 0.500  -0.84
3 Pa 0.250 0.250 0.250  -1.07
4 Gd 0.000 0.000 0.000  6.95

Values from the calculation:
- crystal system = cubic
- energy relative to the elements (eV/atom) = -0.019
- M_tot (μB/f.u.) = 4.64

=====

The following is a GGA-PBE calculation of crystalline Li2ZnMoN4 at its relaxed geometry, from Alexandria.

Unit cell a=4.720 b=4.721 c=5.683 alpha=114.54 beta=114.54 gamma=90.01
Site moments in Bohr magnetons follow the coordinates.
Atoms (fractional coordinates):
1 N 0.637 0.615 0.708  0.37
2 N 0.379 0.834 0.236  0.37
3 N 0.071 0.093 0.708  0.37
4 N 0.857 0.401 0.236  0.37
5 Mo 0.736 0.736 0.472  -0.18
6 Li 0.486 0.986 0.972  0.03
7 Li 0.236 0.236 0.472  0.02
8 Zn 0.986 0.486 0.972  0.10

Values from the calculation:
- crystal system = tetragonal
- M_tot (μB/f.u.) = 2.04
- total energy (Ry per atom) = -0.454

=====

The following is a GGA-PBE calculation of crystalline InAs2Os at its relaxed geometry, from Alexandria.

Unit cell a=3.042 b=3.042 c=8.297 alpha=90.00 beta=90.00 gamma=90.00
Atoms (fractional coordinates):
1 As 0.500 0.500 0.264
2 As 0.000 0.000 0.936
3 In 0.000 0.000 0.531
4 Os 0.500 0.500 0.769

Values from the calculation:
- crystal system = tetragonal
- energy relative to the elements (eV/atom) = 0.279
- M_tot (μB/f.u.) = 0.00

=====

The following is a GGA-PBE calculation of crystalline Li2CdRh2 at its relaxed geometry, from Alexandria.

Unit cell a=5.106 b=5.106 c=5.106 alpha=128.13 beta=128.13 gamma=76.41
Site moments in Bohr magnetons follow the coordinates.
Atoms (fractional coordinates):
1 Li 0.750 0.250 0.500  -0.01
2 Li 0.250 0.750 0.500  -0.01
3 Cd 0.000 0.000 0.000  -0.01
4 Rh 0.348 0.348 0.000  0.42
5 Rh 0.652 0.652 0.000  0.42

Values from the calculation:
- crystal system = tetragonal
- energy relative to the elements (eV/atom) = 0.229
- E above lowest polymorph (eV per formula unit) = 1.32
- M_tot (μB/f.u.) = 0.81

=====

The following is a GGA-PBE calculation of crystalline Dy5GaBi2 at its relaxed geometry, from Alexandria.

Unit cell a=5.795 b=6.454 c=14.215 alpha=90.00 beta=90.00 gamma=116.67
Atoms (fractional coordinates):
1 Ga 0.281 0.561 0.250
2 Ga 0.719 0.439 0.750
3 Bi 0.799 0.598 0.121
4 Bi 0.201 0.402 0.879
5 Bi 0.201 0.402 0.621
6 Bi 0.799 0.598 0.379
7 Dy 0.377 0.753 0.052
8 Dy 0.922 0.844 0.603
9 Dy 0.377 0.753 0.448
10 Dy 0.435 0.870 0.750
11 Dy 0.623 0.247 0.552
12 Dy 0.078 0.156 0.103
13 Dy 0.565 0.130 0.250
14 Dy 0.922 0.844 0.897
15 Dy 0.078 0.156 0.397
16 Dy 0.623 0.247 0.948

Values from the calculation:
- crystal system = orthorhombic
- energy relative to the elements (eV/atom) = -0.289
- M_tot (μB/f.u.) = 0.00

=====

The following is a GGA-PBE calculation of crystalline IrAuBr2 at its relaxed geometry, from Alexandria.

Unit cell a=3.507 b=3.507 c=8.656 alpha=90.00 beta=90.00 gamma=113.98
Site moments in Bohr magnetons follow the coordinates.
Atoms (fractional coordinates):
1 Au 0.500 0.500 0.722  0.04
2 Br 0.000 0.000 0.933  0.04
3 Br 0.500 0.500 0.330  0.13
4 Ir 0.000 0.000 0.514  1.01

Values from the calculation:
- crystal system = orthorhombic
- E above lowest polymorph (eV per formula unit) = 1.52
- M_tot (μB/f.u.) = 1.29

=====

The following is a GGA-PBE calculation of crystalline Ta2BeAlMo at its relaxed geometry, from Alexandria.

Unit cell a=4.439 b=4.439 c=4.174 alpha=90.00 beta=90.00 gamma=90.00
Atoms (fractional coordinates):
1 Be 0.000 0.000 0.000
2 Ta 0.000 0.500 0.000
3 Ta 0.500 0.000 0.000
4 Al 0.500 0.500 0.500
5 Mo 0.000 0.000 0.500

Values from the calculation:
- crystal system = tetragonal
- energy relative to the elements (eV/atom) = 0.435
- M_tot (μB/f.u.) = 0.00

=====

The following is a GGA-PBE calculation of crystalline CeScInAu at its relaxed geometry, from Alexandria.

Unit cell a=5.173 b=5.173 c=5.173 alpha=60.00 beta=60.00 gamma=60.00
Site moments in Bohr magnetons follow the coordinates.
Atoms (fractional coordinates):
1 Ce 0.750 0.750 0.750  0.73
2 Sc 0.250 0.250 0.250  0.18
3 Au 0.000 0.000 0.000  0.02
4 In 0.500 0.500 0.500  0.00

Values from the calculation:
- crystal system = cubic
- energy relative to the elements (eV/atom) = -0.452
- M_tot (μB/f.u.) = 1.18

=====

The following is a GGA-PBE calculation of crystalline NpTaMn4 at its relaxed geometry, from Alexandria.

Unit cell a=4.925 b=4.925 c=4.925 alpha=60.00 beta=60.00 gamma=60.00
Site moments in Bohr magnetons follow the coordinates.
Atoms (fractional coordinates):
1 Mn 0.124 0.625 0.625  0.91
2 Mn 0.625 0.124 0.625  0.91
3 Mn 0.625 0.625 0.124  0.91
4 Mn 0.625 0.625 0.625  0.91
5 Ta 0.000 0.000 0.000  -0.14
6 Np 0.250 0.250 0.250  2.91

Values from the calculation:
- crystal system = cubic
- energy relative to the elements (eV/atom) = 0.149
- M_tot (μB/f.u.) = 6.62

=====

The following is a GGA-PBE calculation of crystalline Zr2RuSe at its relaxed geometry, from Alexandria.

Unit cell a=4.438 b=5.092 c=3.304 alpha=90.00 beta=90.00 gamma=90.00
Atoms (fractional coordinates):
1 Ru 0.500 0.000 0.500
2 Zr 0.500 0.500 0.000
3 Zr 0.000 0.000 0.000
4 Se 0.000 0.500 0.500

Values from the calculation:
- crystal system = orthorhombic
- M_tot (μB/f.u.) = 0.00
- total energy (Ry per atom) = -0.589

=====

The following is a GGA-PBE calculation of crystalline LaScCd at its relaxed geometry, from Alexandria.

Unit cell a=4.712 b=4.712 c=11.798 alpha=90.00 beta=90.00 gamma=120.00
Site moments in Bohr magnetons follow the coordinates.
Atoms (fractional coordinates):
1 Cd 0.667 0.333 0.750  0.00
2 Cd 0.333 0.667 0.250  0.00
3 Sc 0.000 0.000 0.250  0.22
4 Sc 0.000 0.000 0.750  0.22
5 La 0.000 0.000 0.000  0.20
6 La 0.000 0.000 0.500  0.20

Values from the calculation:
- crystal system = hexagonal
- energy relative to the elements (eV/atom) = 0.785
- E above lowest polymorph (eV per formula unit) = 2.87
- M_tot (μB/f.u.) = 0.75

=====

The following is a GGA-PBE calculation of crystalline Pm4Ho3Tm3 at its relaxed geometry, from Alexandria.

Unit cell a=3.778 b=9.246 c=9.246 alpha=89.95 beta=90.00 gamma=90.00
Atoms (fractional coordinates):
1 Tm 0.500 0.332 0.332
2 Tm 0.500 0.668 0.668
3 Tm 0.500 0.832 0.168
4 Ho 0.000 0.501 0.001
5 Ho 0.000 0.999 0.499
6 Ho 0.500 0.168 0.832
7 Pm 0.000 0.869 0.869
8 Pm 0.000 0.131 0.131
9 Pm 0.000 0.631 0.369
10 Pm 0.000 0.370 0.630

Values from the calculation:
- crystal system = orthorhombic
- energy relative to the elements (eV/atom) = 0.100
- M_tot (μB/f.u.) = 0.00

=====

The following is a GGA-PBE calculation of crystalline Sm3HgRh8 at its relaxed geometry, from Alexandria.

Unit cell a=5.353 b=5.353 c=8.752 alpha=90.00 beta=90.00 gamma=120.00
Atoms (fractional coordinates):
1 Sm 0.667 0.333 0.072
2 Sm 0.000 0.000 0.914
3 Sm 0.667 0.333 0.449
4 Rh 0.998 0.499 0.751
5 Rh 0.164 0.328 0.251
6 Rh 0.501 0.002 0.751
7 Rh 0.333 0.667 0.005
8 Rh 0.164 0.836 0.251
9 Rh 0.672 0.836 0.251
10 Rh 0.501 0.499 0.751
11 Rh 0.333 0.667 0.502
12 Hg 0.000 0.000 0.552

Values from the calculation:
- crystal system = trigonal
- energy relative to the elements (eV/atom) = -0.522
- M_tot (μB/f.u.) = 0.00

=====

The following is a GGA-PBE calculation of crystalline Cd2FeSb at its relaxed geometry, from Alexandria.

Unit cell a=4.912 b=4.912 c=4.912 alpha=60.00 beta=60.00 gamma=60.00
Site moments in Bohr magnetons follow the coordinates.
Atoms (fractional coordinates):
1 Cd 0.000 0.000 0.000  0.00
2 Cd 0.250 0.250 0.250  -0.02
3 Sb 0.750 0.750 0.750  0.00
4 Fe 0.500 0.500 0.500  2.76

Values from the calculation:
- crystal system = cubic
- M_tot (μB/f.u.) = 2.75
- total energy (Ry per atom) = -0.232

=====

The following is a GGA-PBE calculation of crystalline Np3Pt at its relaxed geometry, from Alexandria.

Unit cell a=3.477 b=5.092 c=5.258 alpha=118.96 beta=109.31 gamma=90.00
Site moments in Bohr magnetons follow the coordinates.
Atoms (fractional coordinates):
1 Np 0.500 0.417 0.000  0.14
2 Np 0.222 0.639 0.444  2.30
3 Np 0.778 0.194 0.556  2.30
4 Pt 0.000 0.917 0.000  0.00

Values from the calculation:
- crystal system = orthorhombic
- energy relative to the elements (eV/atom) = -0.113
- M_tot (μB/f.u.) = 4.75

=====

The following is a GGA-PBE calculation of crystalline Pr4PIrCl2 at its relaxed geometry, from Alexandria.

Unit cell a=4.096 b=7.525 c=7.520 alpha=72.20 beta=90.00 gamma=90.00
Atoms (fractional coordinates):
1 Pr 0.500 0.284 0.739
2 Pr 0.500 0.716 0.261
3 Pr 0.000 0.290 0.226
4 Pr 0.000 0.710 0.774
5 Cl 0.500 0.000 0.500
6 Cl 0.000 0.000 0.000
7 Ir 0.500 0.500 0.000
8 P 0.000 0.500 0.500

Values from the calculation:
- crystal system = monoclinic
- M_tot (μB/f.u.) = 0.00
- total energy (Ry per atom) = -0.439

=====

The following is a GGA-PBE calculation of crystalline CeHo2In at its relaxed geometry, from Alexandria.

Unit cell a=4.716 b=4.823 c=11.211 alpha=90.00 beta=102.28 gamma=90.00
Site moments in Bohr magnetons follow the coordinates.
Atoms (fractional coordinates):
1 Ho 0.064 0.750 0.127  0.02
2 Ho 0.936 0.250 0.873  0.02
3 Ho 0.442 0.750 0.886  -0.01
4 Ho 0.558 0.250 0.114  -0.01
5 In 0.837 0.750 0.678  -0.01
6 In 0.163 0.250 0.322  -0.01
7 Ce 0.305 0.250 0.614  0.89
8 Ce 0.695 0.750 0.386  0.89

Values from the calculation:
- crystal system = monoclinic
- energy relative to the elements (eV/atom) = -0.094
- E above lowest polymorph (eV per formula unit) = 0.48
- M_tot (μB/f.u.) = 1.10